A plane-wave DFT calculation with PBE was carried out for crystalline SrNd2Mg at its relaxed geometry.

Output
**Energy of formation from the pure elements**: 13.2 kJ/mol of formula units
**Fermi-level density of states**: 4.209 states/eV/f.u.

abc: 3.9500 3.9500 9.3573
angles: 90.00 90.00 90.00
Atoms (fractional coordinates):
Mg: 0.5000 0.5000 0.0000
Sr: 0.5000 0.5000 0.5000
Nd: 0.0000 0.0000 0.8064
Nd: 0.0000 0.0000 0.1936